Entry 1:
Below is crystalline Tb2Be2SiO7 at its relaxed geometry, with properties calculated at the GGA-PBE level.

```
Tb2Be2SiO7
1.0
7.3587 0.0000 0.0000
0.0000 7.3587 0.0000
0.0000 0.0000 4.8057
Tb Be Si O
4 4 2 14
Direct
0.1590 0.3410 0.5076 Tb
0.8410 0.6590 0.5076 Tb
0.6590 0.1590 0.4924 Tb
0.3410 0.8410 0.4924 Tb
0.6365 0.8635 0.9601 Be
0.3635 0.1365 0.9601 Be
0.1365 0.6365 0.0399 Be
0.8635 0.3635 0.0399 Be
0.0000 0.0000 0.0000 Si
0.5000 0.5000 0.0000 Si
0.0000 0.5000 0.1807 O
0.5000 0.0000 0.8193 O
0.6412 0.8588 0.2909 O
0.3588 0.1412 0.2909 O
0.1412 0.6412 0.7091 O
0.8588 0.3588 0.7091 O
0.0810 0.8369 0.1986 O
0.9190 0.1631 0.1986 O
0.1631 0.0810 0.8014 O
0.4190 0.3369 0.8014 O
0.8369 0.9190 0.8014 O
0.5810 0.6631 0.8014 O
0.3369 0.5810 0.1986 O
0.6631 0.4190 0.1986 O
```

Properties
As for the formation energy (no corrections): -3.177 eV per atom.

=====

Entry 2:
Below is crystalline KMnMo2 at its relaxed geometry, with properties calculated at the GGA-PBE level.

```
KMnMo2
1.0
3.6781 0.0000 0.0000
0.0000 2.7813 0.4179
0.0000 1.9344 8.6501
K Mn Mo
1 1 2
Direct
0.5000 0.2500 0.2500 K
0.5000 0.7500 0.7500 Mn
0.0000 0.9963 0.8912 Mo
0.0000 0.5037 0.6088 Mo
```

Properties
The calculation puts the formation energy at 321 kJ/mol of formula units. As for the energy above the lowest structure with this stoichiometry: 0.0783 eV per atom.

=====

Entry 3:
Below is crystalline CdSiW2 at its relaxed geometry, with properties calculated at the GGA-PBE level.

```
CdSiW2
1.0
-4.9317 1.3409 1.7682
0.5272 -4.5081 -2.6247
-0.2848 -1.8039 2.0862
Cd Si W
1 1 2
Direct
0.0000 0.5000 0.5000 Cd
0.5000 0.5000 0.0000 Si
0.0000 0.0000 0.0000 W
0.5000 0.0000 0.5000 W
```

Properties
As for the energy above the lowest structure with this stoichiometry: 0.2183 eV per atom. As for the formation energy (no corrections): 0.577 eV per atom.

=====

Entry 4:
Below is crystalline NdAl4Cu3 at its relaxed geometry, with properties calculated at the GGA-PBE level.

```
NdAl4Cu3
1.0
-2.8145 2.0153 -2.1806
-2.4194 0.1854 3.2940
3.4923 7.2134 2.1590
Nd Al Cu
1 4 3
Direct
0.0000 0.0000 0.5000 Nd
0.5000 0.0000 0.1739 Al
0.0000 0.5000 0.1739 Al
0.5000 0.0000 0.8261 Al
0.0000 0.5000 0.8261 Al
0.0000 0.0000 0.0000 Cu
0.5000 0.5000 0.3513 Cu
0.5000 0.5000 0.6487 Cu
```

Properties
The calculation puts the formation energy at -260 kJ/mol of formula units.

=====

Entry 5:
Below is crystalline LaPr5Y2Sc at its relaxed geometry, with properties calculated at the GGA-PBE level.

```
LaPr5Y2Sc
1.0
-1.2266 -3.5054 4.3892
7.4787 -4.9508 -5.6297
7.4980 4.6871 5.8386
La Pr Y Sc
2 10 4 2
Direct
0.5892 0.1784 0.9584 La
0.4108 0.8216 0.4584 La
0.3750 0.7501 0.0179 Pr
0.7243 0.4486 0.8229 Pr
0.4870 0.9739 0.7420 Pr
0.2982 0.5963 0.7077 Pr
0.9819 0.9638 0.5170 Pr
0.6250 0.2499 0.5179 Pr
0.2757 0.5514 0.3229 Pr
0.5130 0.0261 0.2420 Pr
0.7018 0.4037 0.2077 Pr
0.0181 0.0362 0.0170 Pr
0.8887 0.7775 0.8093 Y
0.1171 0.2342 0.7345 Y
0.1113 0.2225 0.3093 Y
0.8829 0.7658 0.2345 Y
0.8045 0.6091 0.5141 Sc
0.1955 0.3909 0.0141 Sc
```

Properties
The calculation puts the formation energy at 136 kJ/mol of formula units.

=====

Entry 6:
Below is crystalline Cr2ReI at its relaxed geometry, with properties calculated at the GGA-PBE level.

```
Cr2ReI
1.0
0.0000 3.1121 3.1121
3.1121 0.0000 3.1121
3.1121 3.1121 0.0000
I Re Cr
1 1 2
Direct
0.0000 0.0000 0.0000 I
0.5000 0.5000 0.5000 Re
0.2500 0.2500 0.2500 Cr
0.7500 0.7500 0.7500 Cr
```

Properties
As for the energy above the lowest structure with this stoichiometry: 0.0000 eV per atom. As for the formation energy (no corrections): 1.146 eV per atom.

=====

Entry 7:
Below is crystalline KAs2Ru at its relaxed geometry, with properties calculated at the GGA-PBE level.

```
KAs2Ru
1.0
4.7822 0.0000 0.0000
2.3911 4.1415 0.0000
2.3911 1.3805 3.9047
As K Ru
2 1 1
Direct
0.0000 0.0000 0.0000 As
0.2500 0.2500 0.2500 As
0.5000 0.5000 0.5000 K
0.7500 0.7500 0.7500 Ru
```

Properties
The calculation puts the formation energy at 309 kJ/mol of formula units. As for the energy above the lowest structure with this stoichiometry: 1.0054 eV per atom.

=====

Entry 8:
Below is crystalline Sm2ErO4 at its relaxed geometry, with properties calculated at the GGA-PBE level.

```
Sm2ErO4
1.0
-1.8043 -1.9046 -2.3020
-2.4810 -3.1228 4.5281
-1.6600 6.0893 -1.0908
Sm Er O
2 1 4
Direct
0.6951 0.6938 0.3903 Sm
0.3049 0.3062 0.6097 Sm
0.0000 0.0000 0.0000 Er
0.8724 0.1598 0.7447 O
0.1276 0.8402 0.2553 O
0.6404 0.2591 0.2808 O
0.3596 0.7409 0.7192 O
```

Properties
As for the formation energy (no corrections): -3.147 eV per atom.

=====

What is the formula in the third record?
CdSiW2

=====

Copy entry 1 word for word.
Below is crystalline Tb2Be2SiO7 at its relaxed geometry, with properties calculated at the GGA-PBE level.

```
Tb2Be2SiO7
1.0
7.3587 0.0000 0.0000
0.0000 7.3587 0.0000
0.0000 0.0000 4.8057
Tb Be Si O
4 4 2 14
Direct
0.1590 0.3410 0.5076 Tb
0.8410 0.6590 0.5076 Tb
0.6590 0.1590 0.4924 Tb
0.3410 0.8410 0.4924 Tb
0.6365 0.8635 0.9601 Be
0.3635 0.1365 0.9601 Be
0.1365 0.6365 0.0399 Be
0.8635 0.3635 0.0399 Be
0.0000 0.0000 0.0000 Si
0.5000 0.5000 0.0000 Si
0.0000 0.5000 0.1807 O
0.5000 0.0000 0.8193 O
0.6412 0.8588 0.2909 O
0.3588 0.1412 0.2909 O
0.1412 0.6412 0.7091 O
0.8588 0.3588 0.7091 O
0.0810 0.8369 0.1986 O
0.9190 0.1631 0.1986 O
0.1631 0.0810 0.8014 O
0.4190 0.3369 0.8014 O
0.8369 0.9190 0.8014 O
0.5810 0.6631 0.8014 O
0.3369 0.5810 0.1986 O
0.6631 0.4190 0.1986 O
```

Properties
As for the formation energy (no corrections): -3.177 eV per atom.